VASP calculation (PBE-GGA) on a relaxed structure of TiPtIO2.

Lattice parameters (Å, degrees): 3.799 3.799 6.405 90.00 90.00 90.00
Fractional coordinates of all 5 atoms:
I 0.000 0.000 0.500
O 0.000 0.500 0.000
O 0.500 0.000 0.000
Pt 0.500 0.500 0.500
Ti 0.000 0.000 0.000

SG = P4/mmm (123)
Fermi-level density of states = 3.49 states/eV/cell
formation energy (no corrections) = -5.61 eV/f.u.
total moment = 0.045 Bohr magnetons per cell
polymorph energy (0 for the lowest one) = 0.0 meV/atom

---

VASP calculation (PBE-GGA) on a relaxed structure of Tl2PtIO6.

Lattice parameters (Å, degrees): 5.998 5.998 10.676 73.69 73.69 60.00
Fractional coordinates of all 20 atoms:
Tl 0.883 0.883 0.351
Tl 0.117 0.117 0.649
Tl 0.710 0.710 0.870
Tl 0.290 0.290 0.130
Pt 0.591 0.591 0.227
Pt 0.409 0.409 0.773
I 0.000 0.000 0.000
I 0.500 0.500 0.500
O 0.828 0.400 0.371
O 0.400 0.828 0.371
O 0.400 0.400 0.371
O 0.172 0.600 0.629
O 0.600 0.172 0.629
O 0.600 0.600 0.629
O 0.712 0.203 0.882
O 0.203 0.712 0.882
O 0.203 0.203 0.882
O 0.288 0.797 0.118
O 0.797 0.288 0.118
O 0.797 0.797 0.118

SG = R-3m (166)
formation energy (no corrections) = -3.32 eV/f.u.
total moment = 0.000 Bohr magnetons per cell

---

VASP calculation (PBE-GGA) on a relaxed structure of TlPtIO6.

Lattice parameters (Å, degrees): 5.274 5.274 6.324 90.00 90.00 60.00
Fractional coordinates of all 9 atoms:
Tl 0.000 0.000 0.000
Pt 0.667 0.667 0.500
I 0.333 0.333 0.500
O 0.012 0.363 0.328
O 0.363 0.012 0.672
O 0.624 0.363 0.672
O 0.012 0.624 0.672
O 0.363 0.624 0.328
O 0.624 0.012 0.328

SG = P312 (149)
Fermi-level density of states = 0.00 states/eV/cell
formation energy (no corrections) = -4.22 eV/f.u.
total moment = 0.000 Bohr magnetons per cell

---

Number 2 is which compound? Tl2PtIO6